ZrTaAgMo2, relaxed, DFT PBE-GGA; M_tot = 0.006 μB per cell; relative energy among the computed polymorphs = 0.683 eV per atom; DOS(E_F) = 10.12 states/eV/f.u.; volume = 22.56 A^3/atom; calculated formation energy = 2.076 eV/atom; total energy = -6.907 eV/atom
1.0
-3.495 3.326 -0.102
-3.232 -3.355 1.322
0.837 1.022 4.642
Zr Ag Mo Ta
1 1 2 1
direct
0.000 0.500 0.000
0.000 0.000 0.000
0.500 0.000 0.000
0.000 0.000 0.500
0.500 0.500 0.500



Tc4AgMo, relaxed, DFT PBE-GGA; M_tot = 0.000 μB per cell; DOS(E_F) = 6.44 states/eV/f.u.; volume = 15.83 A^3/atom; calculated formation energy = 0.366 eV/atom; total energy = -8.825 eV/atom
1.0
0.000 3.621 3.621
3.621 0.000 3.621
3.621 3.621 0.000
Ag Tc Mo
1 4 1
direct
0.750 0.750 0.750
0.376 0.873 0.376
0.376 0.376 0.873
0.376 0.376 0.376
0.873 0.376 0.376
0.000 0.000 0.000



TcAg2Mo, relaxed, DFT PBE-GGA; M_tot = 0.000 μB per cell; relative energy among the computed polymorphs = 0.059 eV per atom; DOS(E_F) = 3.40 states/eV/f.u.; volume = 17.18 A^3/atom; calculated formation energy = 0.347 eV/atom; total energy = -6.378 eV/atom
1.0
3.015 0.000 0.000
0.000 3.015 0.000
0.000 0.000 7.561
Mo Ag Tc
1 2 1
direct
0.000 0.000 0.535
0.000 0.000 0.993
0.500 0.500 0.254
0.500 0.500 0.718



Q: Which value of total energy does entry 2 give?
A: -8.825 eV/atom